GGA-PBE Fe2HgGe2, optimized geometry; symmetry = P4/mbm; D(E_F) = 3.2 states/eV/f.u.; energy above the lowest structure with this stoichiometry = 119 meV/atom
1.0
7.127 0.000 0.000
0.000 7.127 0.000
0.000 0.000 2.743
Fe Hg Ge
4 2 4
direct
0.149 0.351 0.000
0.351 0.851 0.000
0.649 0.149 0.000
0.851 0.649 0.000
0.000 0.000 0.500
0.500 0.500 0.500
0.142 0.642 0.500
0.358 0.142 0.500
0.642 0.858 0.500
0.858 0.358 0.500



GGA-PBE Fe3HgGe, optimized geometry; symmetry = Pm-3m; D(E_F) = 11.9 states/eV/f.u.; energy above the lowest structure with this stoichiometry = 0 meV/atom
1.0
4.444 0.000 0.000
0.000 4.444 0.000
0.000 0.000 4.444
Fe Hg Ge
3 1 1
direct
0.000 0.000 0.500
0.000 0.500 0.000
0.500 0.000 0.000
0.500 0.500 0.500
0.000 0.000 0.000



GGA-PBE FeHg2Ge, optimized geometry; symmetry = I-42d; D(E_F) = 2.7 states/eV/f.u.
1.0
-4.576 4.576 2.278
4.576 -4.576 2.278
4.576 4.576 -2.278
Fe Hg Ge
2 4 2
direct
0.000 0.000 0.000
0.750 0.250 0.500
0.375 0.001 0.126
0.751 0.625 0.626
0.875 0.249 0.874
0.999 0.125 0.374
0.250 0.750 0.500
0.500 0.500 0.000



GGA-PBE Fe2HgGe2, optimized geometry; symmetry = P4/mbm; D(E_F) = 3.5 states/eV/f.u.; energy above the lowest structure with this stoichiometry = 0 meV/atom
1.0
7.013 0.000 0.000
0.000 7.013 0.000
0.000 0.000 2.897
Fe Hg Ge
4 2 4
direct
0.144 0.356 0.000
0.356 0.856 0.000
0.644 0.144 0.000
0.856 0.644 0.000
0.000 0.000 0.000
0.500 0.500 0.000
0.148 0.648 0.500
0.352 0.148 0.500
0.648 0.852 0.500
0.852 0.352 0.500



GGA-PBE FeHg3Ge, optimized geometry; symmetry = Pm-3m; D(E_F) = 4.3 states/eV/f.u.; energy above the lowest structure with this stoichiometry = 0 meV/atom
1.0
5.045 0.000 0.000
0.000 5.045 0.000
0.000 0.000 5.045
Fe Hg Ge
1 3 1
direct
0.000 0.000 0.000
0.000 0.000 0.500
0.000 0.500 0.000
0.500 0.000 0.000
0.500 0.500 0.500



GGA-PBE Fe3HgGe, optimized geometry; symmetry = Pm-3m; D(E_F) = 8.0 states/eV/f.u.; energy above the lowest structure with this stoichiometry = 744 meV/atom
1.0
4.831 0.000 0.000
0.000 4.831 0.000
0.000 0.000 4.831
Fe Hg Ge
3 1 1
direct
0.000 0.000 0.500
0.000 0.500 0.000
0.500 0.000 0.000
0.000 0.000 0.000
0.500 0.500 0.500



GGA-PBE Fe2HgGe2, optimized geometry; symmetry = I4/mmm; D(E_F) = 3.4 states/eV/f.u.; energy above the lowest structure with this stoichiometry = 86 meV/atom
1.0
-1.834 1.834 5.694
1.834 -1.834 5.694
1.834 1.834 -5.694
Fe Hg Ge
2 1 2
direct
0.107 0.107 0.000
0.893 0.893 0.000
0.500 0.500 0.000
0.250 0.750 0.500
0.750 0.250 0.500



GGA-PBE Fe2HgGe2, optimized geometry; symmetry = I4/mmm; D(E_F) = 3.1 states/eV/f.u.; energy above the lowest structure with this stoichiometry = 96 meV/atom
1.0
-2.046 2.046 4.759
2.046 -2.046 4.759
2.046 2.046 -4.759
Fe Hg Ge
2 1 2
direct
0.250 0.750 0.500
0.750 0.250 0.500
0.000 0.000 0.000
0.370 0.370 0.000
0.630 0.630 0.000



Number 1: ΔE_f 0.310 eV/atom, magnetic moment 0.19 μB/atom, E_tot -4.983 eV per atom. Number 2: ΔE_f 0.823 eV/atom, magnetic moment 1.48 μB/atom, E_tot -5.239 eV per atom. Number 3: ΔE_f 0.440 eV/atom, magnetic moment 0.41 μB/atom, E_tot -2.981 eV per atom. Number 4: ΔE_f 0.190 eV/atom, magnetic moment 0.14 μB/atom, E_tot -5.102 eV per atom. Number 5: ΔE_f 0.660 eV/atom, magnetic moment 0.49 μB/atom, E_tot -2.137 eV per atom. Number 6: ΔE_f 1.567 eV/atom, magnetic moment 1.85 μB/atom, E_tot -4.495 eV per atom. Number 7: ΔE_f 0.277 eV/atom, magnetic moment 0.32 μB/atom, E_tot -5.016 eV per atom. Number 8: ΔE_f 0.286 eV/atom, magnetic moment 0.00 μB/atom, E_tot -5.006 eV per atom.